Record 1
The following is a DFT calculation (GGA-PBE) of an optimized crystal structure of Na3HfZn2O6.

Results
Formation energy (no corrections): -1892 meV/atom
Total energy: -5.74 eV/atom
Space-group type: C2/m (12)
Size of the total moment: 1.1 μB/cell

Geometry as extended XYZ:
```
12
Lattice="-3.0791 4.4793 0.1623 -1.7096 -4.5958 2.3509 3.9924 1.5381 3.8796" Properties=species:S:1:pos:R:3 pbc="T T T"
O -0.5130 1.7637 1.0382
O -0.7274 2.6012 4.6449
O -2.7259 0.2388 2.6960
O -0.0689 -1.1796 1.7480
O -0.2833 -0.3421 5.3547
O 1.9296 1.1828 3.6969
Zn -2.1671 -1.5644 1.6199
Zn -2.6216 1.4479 0.8934
Na 0.0475 -2.2423 3.9086
Na -0.3981 0.7108 3.1964
Na -0.8438 3.6639 2.4843
Hf 0.0000 0.0000 0.0000
```

***

Record 2
The following is a DFT calculation (GGA-PBE) of an optimized crystal structure of Na2HfZnO4.

Results
Formation energy (no corrections): -2272 meV/atom
Total energy: -6.48 eV/atom
Space-group type: P2/m (10)
Size of the total moment: 0.0 μB/cell

Geometry as extended XYZ:
```
8
Lattice="-2.8482 0.7013 1.1962 -2.3496 -1.3033 -4.8305 0.2708 -4.7250 3.4151" Properties=species:S:1:pos:R:3 pbc="T T T"
O -1.6214 -1.9494 -2.7177
O -0.4574 -4.0790 1.3023
O -2.9809 -4.4264 -0.3080
O -1.9461 -0.9007 0.0888
Na -1.0394 -3.0142 -0.7077
Na -1.2887 -2.0119 2.3057
Hf -2.5989 -0.3010 -1.8172
Zn 0.0000 0.0000 0.0000
```

***

Record 3
The following is a DFT calculation (GGA-PBE) of an optimized crystal structure of Na3HfOs.

Results
ΔH_f (0 K): 1.978 eV/atom
Total energy: -3.05 eV/atom
Space-group type: Pm-3m (221)
Size of the total moment: 0.0 μB/cell

Geometry as extended XYZ:
```
5
Lattice="-1.6958 4.9728 0.2041 -3.2183 -1.2601 3.9624 3.7964 1.1531 3.4502" Properties=species:S:1:pos:R:3 pbc="T T T"
Na 1.8982 0.5765 1.7251
Na -1.6092 -0.6301 1.9812
Na -0.8479 2.4864 0.1020
Hf -0.5589 2.4328 3.8083
Os 0.0000 0.0000 0.0000
```

***

Question: Which of these has the lowest total energy?
Answer: Na2HfZnO4